i | Compound: CdRe2Si
Source: Alexandria via LeMat-Bulk
Functional: GGA-PBE
Structure: optimized geometry

volume	15.77	A^3/atom

a = 2.8017 Å, b = 2.8017 Å, c = 8.8275 Å
α = 90.00°, β = 90.00°, γ = 114.45°
Fractional positions:
Cd 0.5000 0.5000 0.7500
Re 0.0000 0.0000 0.0337
Re 0.0000 0.0000 0.4663
Si 0.5000 0.5000 0.2500



ii | Compound: CdRe2Si
Source: Alexandria via LeMat-Bulk
Functional: GGA-PBE
Structure: optimized geometry

volume	16.19	A^3/atom

a = 4.6924 Å, b = 4.6924 Å, c = 5.0018 Å
α = 81.52°, β = 81.52°, γ = 36.53°
Fractional positions:
Cd 0.2534 0.2534 0.2525
Re 0.0085 0.0085 0.9511
Re 0.7499 0.7499 0.7517
Si 0.4882 0.4882 0.5447



iii | Compound: CdRe2Si
Source: Alexandria via LeMat-Bulk
Functional: GGA-PBE
Structure: optimized geometry

volume	15.63	A^3/atom

a = 5.3825 Å, b = 5.3825 Å, c = 5.3825 Å
α = 147.41°, β = 131.33°, γ = 59.80°
Fractional positions:
Cd 0.2617 0.7617 0.5000
Re 0.9784 0.9784 0.0000
Re 0.7350 0.2350 0.5000
Si 0.5249 0.5249 0.0000



iv | Compound: CdRe2Si
Source: Alexandria via LeMat-Bulk
Functional: GGA-PBE
Structure: optimized geometry

volume	15.57	A^3/atom

a = 4.9183 Å, b = 4.9183 Å, c = 2.6721 Å
α = 90.00°, β = 90.00°, γ = 105.57°
Fractional positions:
Cd 0.0000 0.5000 0.5000
Re 0.0000 0.0000 0.0000
Re 0.5000 0.5000 0.0000
Si 0.5000 0.0000 0.5000



Energies relative to the minimum, eV/atom: i 0.000; ii 0.125; iii 0.108; iv 0.354



i | Compound: CdReSi
Source: Alexandria via LeMat-Bulk
Functional: GGA-PBE
Structure: optimized geometry

volume	16.97	A^3/atom

a = 4.1862 Å, b = 4.1862 Å, c = 3.3555 Å
α = 90.00°, β = 90.00°, γ = 120.00°
Fractional positions:
Cd 0.0000 0.0000 0.0002
Re 0.6667 0.3333 0.5003
Si 0.3333 0.6667 0.4995



ii | Compound: CdReSi
Source: Alexandria via LeMat-Bulk
Functional: GGA-PBE
Structure: optimized geometry

volume	17.55	A^3/atom

a = 7.5400 Å, b = 7.3179 Å, c = 2.8400 Å
α = 83.42°, β = 74.61°, γ = 21.97°
Fractional positions:
Cd 0.9939 0.9939 0.0061
Re 0.3176 0.3176 0.6824
Si 0.6886 0.6886 0.3114



Energies relative to the minimum, eV/atom: i 0.000; ii 0.148



i | Compound: Cd3ReSn
Source: Alexandria via LeMat-Bulk
Functional: GGA-PBE
Structure: optimized geometry

volume	28.71	A^3/atom

a = 5.2361 Å, b = 5.2361 Å, c = 5.2361 Å
α = 90.00°, β = 90.00°, γ = 90.00°
Last column: magnetic moment on the atom in μB.
Fractional positions:
Re 0.0000 0.0000 0.0000  0.84
Sn 0.5000 0.5000 0.5000  -0.09
Cd 0.0000 0.5000 0.0000  0.01
Cd 0.0000 0.0000 0.5000  0.02
Cd 0.5000 0.0000 0.0000  -0.01



ii | Compound: Cd3ReSn
Source: Alexandria via LeMat-Bulk
Functional: GGA-PBE
Structure: optimized geometry

volume	32.19	A^3/atom

a = 5.4396 Å, b = 5.4396 Å, c = 5.4396 Å
α = 90.00°, β = 90.00°, γ = 90.00°
Last column: magnetic moment on the atom in μB.
Fractional positions:
Re 0.5000 0.5000 0.5000  3.60
Sn 0.0000 0.0000 0.0000  0.00
Cd 0.0000 0.5000 0.0000  -0.03
Cd 0.0000 0.0000 0.5000  -0.03
Cd 0.5000 0.0000 0.0000  -0.02



Energies relative to the minimum, eV/atom: i 0.000; ii 0.566



i | Compound: SrCd2Re
Source: Alexandria via LeMat-Bulk
Functional: GGA-PBE
Structure: optimized geometry

volume	21.43	A^3/atom

a = 10.8206 Å, b = 10.8206 Å, c = 10.8206 Å
α = 16.17°, β = 16.17°, γ = 16.17°
Fractional positions:
Cd 0.9904 0.9904 0.9904
Cd 0.5096 0.5096 0.5096
Re 0.2500 0.2500 0.2500
Sr 0.7500 0.7500 0.7500



ii | Compound: SrCd2Re
Source: Alexandria via LeMat-Bulk
Functional: GGA-PBE
Structure: optimized geometry

volume	22.83	A^3/atom

a = 5.3598 Å, b = 5.3598 Å, c = 5.3598 Å
α = 128.68°, β = 128.68°, γ = 75.53°
Last column: magnetic moment on the atom in μB.
Fractional positions:
Cd 0.0000 0.0000 0.0000  -0.02
Cd 0.5000 0.5000 0.0000  -0.02
Re 0.2500 0.7500 0.5000  1.43
Sr 0.7500 0.2500 0.5000  -0.01



iii | Compound: SrCd2Re
Source: Alexandria via LeMat-Bulk
Functional: GGA-PBE
Structure: optimized geometry

volume	21.85	A^3/atom

a = 3.0262 Å, b = 3.0262 Å, c = 9.5430 Å
α = 90.00°, β = 90.00°, γ = 90.01°
Last column: magnetic moment on the atom in μB.
Fractional positions:
Cd 0.0000 0.0000 0.0335  0.00
Cd 0.0000 0.0000 0.4665  0.00
Re 0.5000 0.5000 0.2500  0.54
Sr 0.5000 0.5000 0.7500  -0.01



iv | Compound: SrCd2Re
Source: Alexandria via LeMat-Bulk
Functional: GGA-PBE
Structure: optimized geometry

volume	28.88	A^3/atom

a = 4.8837 Å, b = 4.8837 Å, c = 10.2842 Å
α = 76.26°, β = 76.26°, γ = 90.00°
Last column: magnetic moment on the atom in μB.
Fractional positions:
Re 0.0000 0.0000 0.0000  1.21
Re 0.7500 0.2500 0.5000  1.21
Sr 0.5000 0.5000 0.0000  -0.02
Sr 0.2500 0.7500 0.5000  -0.02
Cd 0.7403 0.1250 0.2500  -0.03
Cd 0.0097 0.6250 0.2500  -0.03
Cd 0.3750 0.2597 0.7500  -0.03
Cd 0.8750 0.9903 0.7500  -0.03



Energies relative to the minimum, eV/atom: i 0.135; ii 0.074; iii 0.000; iv 0.290